A plane-wave DFT calculation with GGA+U was carried out for an optimized crystal structure of VC3O.

Summary:
Calculated total energy = -5.248 eV per atom
Spin magnetization = 0.5 μB/f.u.
DOS at the Fermi energy = 2.37 states/eV/f.u.
Crystal system = cubic
Space group = Pm-3m
Excess energy over the best structure of this formula in the dataset = 0.0556 eV per atom

Structure (POSCAR):
```
VC3O
1.0
3.5048 0.0000 0.0000
0.0000 3.5048 0.0000
0.0000 0.0000 3.5048
V C O
1 3 1
Cartesian
0.0000 0.0000 0.0000
0.0000 1.7524 1.7524
1.7524 0.0000 1.7524
1.7524 1.7524 0.0000
1.7524 1.7524 1.7524
```